Sr2Mg12InAg3: optimized geometry, PBE.

abc: 7.782 7.782 7.782
angles: 84.75 84.75 84.75
Element x y z (fractional)
Mg  0.926  0.375  0.375
Mg  0.375  0.926  0.375
Mg  0.817  0.817  0.296
Sr  0.373  0.373  0.373
Mg  0.375  0.375  0.926
Mg  0.704  0.183  0.183
Mg  0.183  0.704  0.183
Ag  0.000  0.000  0.500
Mg  0.296  0.817  0.817
Sr  0.627  0.627  0.627
Ag  0.500  0.000  0.000
Mg  0.074  0.625  0.625
Ag  0.000  0.500  0.000
Mg  0.817  0.296  0.817
In  0.000  0.000  0.000
Mg  0.625  0.625  0.074
Mg  0.625  0.074  0.625
Mg  0.183  0.183  0.704

M_tot = 0.0 μB per formula unit
formation energy = 152 kJ/mol of formula units
final energy = -32.220 eV/cell

SrMg2In4Ag: optimized geometry, PBE.

abc: 4.988 4.988 10.065
angles: 75.65 75.65 60.00
Element x y z (fractional)
Mg  0.243  0.243  0.270
Ag  0.500  0.500  0.500
In  0.603  0.603  0.191
In  0.870  0.870  0.389
In  0.397  0.397  0.809
Mg  0.757  0.757  0.730
Sr  0.000  0.000  0.000
In  0.130  0.130  0.611

M_tot = 0.0 μB per formula unit
formation energy = -119 kJ/mol of formula units
final energy = -19.910 eV/cell